Entry 1:
11
Lattice="-1.5571 -2.8990 -2.8202 4.0661 1.9705 -4.2706 8.6590 -8.7456 4.2091" Properties=species:S:1:pos:R:3 comment="PBE-GGA Al5Sb3Te3, optimized geometry" formation_energy_uncorrected_kj_per_mol_fu=-296 m_tot_mub_per_cell=0.00 pbc="T T T"
Te 3.5495 -1.3657 -3.8858
Te 9.5140 -7.3898 -0.9865
Te 1.0035 0.4863 -1.0539
Sb 6.6269 -4.3317 -2.5361
Sb 6.8500 -5.3805 1.7488
Sb 3.8671 -2.3678 0.2988
Al 4.1502 -3.3398 -2.1883
Al 4.3762 -4.3501 2.0555
Al 5.4374 0.5759 -3.5942
Al 7.0835 -6.3024 -0.7624
Al 11.3411 -5.3867 -0.7244

***

Entry 2:
5
Lattice="5.2984 0.0000 0.0000 0.0000 5.2984 0.0000 0.0000 0.0000 5.1529" Properties=species:S:1:pos:R:3 comment="PBE-GGA TiAlSbTe2, optimized geometry" formation_energy_uncorrected_kj_per_mol_fu=295 m_tot_mub_per_cell=0.03 de_polymorph_ev_per_atom=0.4826 pbc="T T T"
Te 0.0000 2.6492 0.0000
Te 2.6492 0.0000 0.0000
Al 0.0000 0.0000 0.0000
Sb 0.0000 0.0000 2.5764
Ti 2.6492 2.6492 2.5764

***

Entry 3:
5
Lattice="-0.0093 4.7901 -2.3557 -5.0221 -0.8061 -1.6193 -1.8101 2.2150 4.5111" Properties=species:S:1:pos:R:3 comment="PBE-GGA TiAlSbTe2, optimized geometry" formation_energy_uncorrected_kj_per_mol_fu=62 m_tot_mub_per_cell=0.00 de_polymorph_ev_per_atom=0.0000 pbc="T T T"
Al -3.4208 3.0994 0.2681
Te -2.5111 -0.4031 -0.8096
Te -0.0047 2.3950 -1.1778
Ti 0.0000 0.0000 0.0000
Sb -0.9050 1.1075 2.2556

***

Entry 4:
12
Lattice="-3.4950 1.0960 -2.3156 -4.2237 -8.4651 2.3684 -3.6425 5.7258 8.2079" Properties=species:S:1:pos:R:3 comment="PBE-GGA AlTlSbTe3, optimized geometry" formation_energy_uncorrected_kj_per_mol_fu=-124 m_tot_mub_per_cell=0.00 pbc="T T T"
Te -6.4707 0.2153 7.8411
Te -6.8041 -5.6560 1.5105
Te -4.8905 -1.8587 0.4195
Te -4.5572 4.0126 6.7502
Te -6.1576 -3.7260 5.5030
Te -5.2036 2.0826 2.7576
Tl -2.1266 0.1507 1.2537
Tl -9.2346 -1.7941 7.0069
Al -7.9130 -4.6763 3.6480
Al -3.4482 3.0329 4.6127
Sb -7.2891 2.3933 6.0523
Sb -4.0722 -4.0367 2.2083

***

Entry 5:
8
Lattice="-5.8467 1.2421 -4.3119 -3.4459 -5.3638 -3.1715 -6.5960 0.1211 2.6799" Properties=species:S:1:pos:R:3 comment="PBE-GGA AlTl2SbTe4, optimized geometry" formation_energy_uncorrected_kj_per_mol_fu=-212 m_tot_mub_per_cell=0.00 pbc="T T T"
Te -9.4973 1.1875 -2.1117
Te -5.4832 0.7149 -1.3920
Te -4.9166 -2.9087 -4.0346
Te -1.8381 -1.7522 -1.5771
Sb 0.0000 0.0000 0.0000
Tl -5.0209 -2.6214 -0.2458
Tl -7.9443 -2.0003 -2.4018
Al -2.9234 0.6210 -2.1560

***

Entry 6:
5
Lattice="5.2384 0.0000 0.0000 0.0000 5.2384 0.0000 0.0000 0.0000 5.2001" Properties=species:S:1:pos:R:3 comment="PBE-GGA AlVSbTe2, optimized geometry" formation_energy_uncorrected_kj_per_mol_fu=174 m_tot_mub_per_cell=0.50 de_polymorph_ev_per_atom=0.0000 pbc="T T T"
Te 0.0000 2.6192 0.0000
Te 2.6192 0.0000 0.0000
Al 2.6192 2.6192 2.6000
Sb 0.0000 0.0000 2.6000
V 0.0000 0.0000 0.0000

***

Entry 7:
5
Lattice="5.2977 0.0000 0.0000 0.0000 5.2977 0.0000 0.0000 0.0000 5.1507" Properties=species:S:1:pos:R:3 comment="PBE-GGA AlVSbTe2, optimized geometry" formation_energy_uncorrected_kj_per_mol_fu=457 m_tot_mub_per_cell=0.07 de_polymorph_ev_per_atom=0.5858 pbc="T T T"
Te 0.0000 2.6489 0.0000
Te 2.6489 0.0000 0.0000
V 2.6489 2.6489 2.5753
Sb 0.0000 0.0000 2.5753
Al 0.0000 0.0000 0.0000

***

Entry 8:
5
Lattice="-4.7787 -0.4082 -1.9478 -1.3276 -3.1206 3.9110 -1.4844 4.1151 2.7796" Properties=species:S:1:pos:R:3 comment="PBE-GGA AlVSb2Te, optimized geometry" formation_energy_uncorrected_kj_per_mol_fu=199 m_tot_mub_per_cell=0.10 de_polymorph_ev_per_atom=0.0000 pbc="T T T"
V 0.0000 0.0000 0.0000
Te -0.7422 2.0576 1.3898
Sb -2.3893 -0.2041 -0.9739
Sb -0.6638 -1.5603 1.9555
Al -3.7953 0.2932 2.3714

***

Entry 9:
5
Lattice="-1.6068 -1.8465 -4.5580 3.6601 -3.6517 0.1890 -3.3901 -3.2675 2.5188" Properties=species:S:1:pos:R:3 comment="PBE-GGA AlVSb2Te, optimized geometry" formation_energy_uncorrected_kj_per_mol_fu=505 m_tot_mub_per_cell=0.11 de_polymorph_ev_per_atom=0.6355 pbc="T T T"
Sb -0.8034 -0.9232 -2.2790
Sb 1.8300 -1.8259 0.0945
V -0.6684 -4.3828 -0.9251
Te -1.6950 -1.6337 1.2594
Al 0.0000 0.0000 0.0000

***

Entry 10:
5
Lattice="-0.4803 3.3829 4.6398 -4.5319 -2.1378 1.0895 2.6530 -3.9985 3.1900" Properties=species:S:1:pos:R:3 comment="PBE-GGA AlSbTe2W, optimized geometry" formation_energy_uncorrected_kj_per_mol_fu=787 m_tot_mub_per_cell=4.53 de_polymorph_ev_per_atom=0.9184 pbc="T T T"
Sb 0.0000 0.0000 0.0000
Al -2.2660 -1.0689 0.5447
Te -0.2402 1.6915 2.3199
Te 1.3265 -1.9992 1.5950
W -1.1796 -1.3767 4.4596

***

Entry 11:
5
Lattice="-2.8317 4.1454 1.8924 1.1067 -1.5357 5.0200 4.3513 2.9924 -0.0439" Properties=species:S:1:pos:R:3 comment="PBE-GGA AlSbTe2W, optimized geometry" formation_energy_uncorrected_kj_per_mol_fu=344 m_tot_mub_per_cell=0.00 de_polymorph_ev_per_atom=0.0000 pbc="T T T"
Te -1.4158 2.0727 0.9462
Te 0.5533 -0.7678 2.5100
Sb 2.1757 1.4962 -0.0219
Al 1.3132 2.8010 3.4343
W 0.0000 0.0000 0.0000

***

Entry 12:
5
Lattice="-4.8054 1.8413 0.8977 -1.5526 -1.7805 -4.6591 -1.3106 -4.4655 2.1433" Properties=species:S:1:pos:R:3 comment="PBE-GGA AlSbTe2W, optimized geometry" formation_energy_uncorrected_kj_per_mol_fu=632 m_tot_mub_per_cell=2.98 de_polymorph_ev_per_atom=0.5986 pbc="T T T"
Al 0.0000 0.0000 0.0000
Te -2.4027 0.9206 0.4488
Te -0.7763 -0.8903 -2.3296
Sb -0.6553 -2.2327 1.0716
W -3.8343 -2.2024 -0.8091

***

Entry 13:
5
Lattice="-1.1991 0.4145 -5.5574 4.1899 -3.7095 -1.1807 -3.6901 -4.3188 0.4741" Properties=species:S:1:pos:R:3 comment="PBE-GGA YAl2SbTe, optimized geometry" formation_energy_uncorrected_kj_per_mol_fu=373 m_tot_mub_per_cell=0.21 pbc="T T T"
Al -0.5995 0.2072 -2.7787
Al -1.8451 -2.1594 0.2370
Sb 2.0949 -1.8548 -0.5904
Y 0.0000 0.0000 0.0000
Te -0.3497 -3.8069 -3.1320

***

Entry 14:
5
Lattice="5.4508 0.0000 0.0000 0.0000 5.4508 0.0000 0.0000 0.0000 5.1014" Properties=species:S:1:pos:R:3 comment="PBE-GGA AlZnSbTe2, optimized geometry" formation_energy_uncorrected_kj_per_mol_fu=240 m_tot_mub_per_cell=0.00 de_polymorph_ev_per_atom=0.0505 pbc="T T T"
Te 2.7254 0.0000 0.0000
Te 0.0000 2.7254 0.0000
Zn 0.0000 0.0000 0.0000
Al 2.7254 2.7254 2.5507
Sb 0.0000 0.0000 2.5507

***

Entry 15:
5
Lattice="-0.6682 4.9305 -2.0386 -3.5869 1.1058 3.8501 3.8974 1.8141 3.1099" Properties=species:S:1:pos:R:3 comment="PBE-GGA AlZnSbTe2, optimized geometry" formation_energy_uncorrected_kj_per_mol_fu=216 m_tot_mub_per_cell=0.00 de_polymorph_ev_per_atom=0.0000 pbc="T T T"
Te -0.3341 2.4652 -1.0193
Te -1.7934 0.5529 1.9251
Zn -0.1788 3.9252 2.4607
Al 0.0000 0.0000 0.0000
Sb 1.9487 0.9070 1.5550

***

Entry 16:
4
Lattice="-1.9324 -2.1379 -3.3134 1.9305 -2.2527 3.2377 -5.5272 2.1161 4.7683" Properties=species:S:1:pos:R:3 comment="PBE-GGA AlZnSbTe, optimized geometry" formation_energy_uncorrected_kj_per_mol_fu=-120 m_tot_mub_per_cell=0.00 pbc="T T T"
Al 0.4456 -2.2552 3.4248
Te -3.7978 -0.0252 1.5617
Zn -3.3331 -0.0715 4.2318
Sb -0.0901 -2.2096 0.7980

***

Entry 17:
5
Lattice="5.1696 0.0000 0.0000 0.0000 5.1696 0.0000 0.0000 0.0000 5.5595" Properties=species:S:1:pos:R:3 comment="PBE-GGA AlZnSb2Te, optimized geometry" formation_energy_uncorrected_kj_per_mol_fu=282 m_tot_mub_per_cell=0.00 de_polymorph_ev_per_atom=0.0410 pbc="T T T"
Te 0.0000 0.0000 2.7797
Al 2.5848 2.5848 2.7797
Sb 2.5848 0.0000 0.0000
Sb 0.0000 2.5848 0.0000
Zn 0.0000 0.0000 0.0000

***

Entry 18:
5
Lattice="5.3150 0.0000 0.0000 0.0000 5.3150 0.0000 0.0000 0.0000 5.3674" Properties=species:S:1:pos:R:3 comment="PBE-GGA AlZnSb2Te, optimized geometry" formation_energy_uncorrected_kj_per_mol_fu=262 m_tot_mub_per_cell=0.00 de_polymorph_ev_per_atom=0.0000 pbc="T T T"
Zn 2.6575 2.6575 2.6837
Te 0.0000 0.0000 2.6837
Sb 2.6575 0.0000 0.0000
Sb 0.0000 2.6575 0.0000
Al 0.0000 0.0000 0.0000

***

Entry 19:
5
Lattice="5.6078 0.0000 0.0000 0.0000 5.6078 0.0000 0.0000 0.0000 5.6170" Properties=species:S:1:pos:R:3 comment="PBE-GGA ZrAlSbTe2, optimized geometry" formation_energy_uncorrected_kj_per_mol_fu=55 m_tot_mub_per_cell=0.00 de_polymorph_ev_per_atom=0.0000 pbc="T T T"
Sb 0.0000 0.0000 2.8085
Te 2.8039 0.0000 0.0000
Te 0.0000 2.8039 0.0000
Zr 0.0000 0.0000 0.0000
Al 2.8039 2.8039 2.8085

***

Entry 20:
5
Lattice="-3.4556 3.9947 -0.0786 -3.6114 -3.1673 -2.1979 -1.6644 -1.3477 4.6770" Properties=species:S:1:pos:R:3 comment="PBE-GGA ZrAlSbTe2, optimized geometry" formation_energy_uncorrected_kj_per_mol_fu=202 m_tot_mub_per_cell=0.97 de_polymorph_ev_per_atom=0.3038 pbc="T T T"
Sb -0.8322 -0.6739 2.3385
Al 0.0000 0.0000 0.0000
Te -1.8057 -1.5837 -1.0990
Te -1.7278 1.9973 -0.0393
Zr -4.3657 -0.2602 1.2002